RbAlCuTe3 GGA-PBE optimized geometry; electronic total energy = -40.876 eV per cell; space group = No. 63
1.0
1.9727 -8.3215 0.0000
1.9727 8.3215 0.0000
0.0000 0.0000 11.1381
Al Cu Rb Te
2 2 2 6
Direct
0.5000 0.5000 0.0000
0.5000 0.5000 0.5000
0.9604 0.0396 0.2500
0.0396 0.9604 0.7500
0.2525 0.7475 0.2500
0.7475 0.2525 0.7500
0.8860 0.1140 0.0448
0.5625 0.4375 0.2500
0.8860 0.1140 0.4552
0.1140 0.8860 0.5448
0.4375 0.5625 0.7500
0.1140 0.8860 0.9552